1.
# GGA-PBE SrEr2IrO8, relaxed
# formation energy (no corrections) = -2098.3 meV/atom
# DOS(E_F) = 5.5 states/eV/cell
# total moment = 0.11 μB per atom
data_SrEr2IrO8
_chemical_formula_sum 'Sr1 Er2 Ir1 O8'
_symmetry_space_group_name_H-M 'P -1'
_symmetry_Int_Tables_number 2
_symmetry_space_group_name_Hall '-P 1'
_cell_length_a 4.323
_cell_length_b 5.118
_cell_length_c 6.978
_cell_angle_alpha 89.25
_cell_angle_beta 73.74
_cell_angle_gamma 87.79
loop_
_atom_site_label
_atom_site_type_symbol
_atom_site_fract_x
_atom_site_fract_y
_atom_site_fract_z
_atom_site_occupancy
Sr1 Sr 0.000 0.000 0.000 1
Er1 Er 0.395 0.519 0.284 1
Ir1 Ir 0.000 0.000 0.500 1
O1 O 0.169 0.311 0.593 1
O2 O 0.224 0.778 0.634 1
O3 O 0.240 0.496 0.007 1
O4 O 0.353 0.972 0.250 1

2.
# GGA-PBE UAg3Te2F6, relaxed
# formation energy (no corrections) = -1878.4 meV/atom
# DOS(E_F) = 10.7 states/eV/cell
# total moment = 0.07 μB per atom
data_UAg3Te2F6
_chemical_formula_sum 'U2 Ag6 Te4 F12'
_symmetry_space_group_name_H-M 'C 1 2/m 1'
_symmetry_Int_Tables_number 12
_symmetry_space_group_name_Hall '-C 2y'
_cell_length_a 15.182
_cell_length_b 8.101
_cell_length_c 3.873
_cell_angle_alpha 90.00
_cell_angle_beta 90.29
_cell_angle_gamma 90.00
loop_
_atom_site_label
_atom_site_type_symbol
_atom_site_fract_x
_atom_site_fract_y
_atom_site_fract_z
_atom_site_occupancy
U1 U 0.000 0.000 0.000 1
Ag1 Ag 0.000 0.500 0.500 1
Ag2 Ag 0.250 0.250 0.000 1
Te1 Te 0.185 0.500 0.501 1
F1 F 0.079 0.000 0.503 1
F2 F 0.084 0.205 0.003 1

3.
# GGA-PBE HoPu2Zn2Ge2, relaxed
# formation energy = -0.211 eV/atom
# DOS(E_F) = 23.0 states/eV/cell
# total moment = 0.00 μB per atom
data_HoPu2Zn2Ge2
_chemical_formula_sum 'Ho3 Pu6 Zn6 Ge6'
_symmetry_space_group_name_H-M 'R -3 m'
_symmetry_Int_Tables_number 166
_symmetry_space_group_name_Hall '-R 3 2"'
_cell_length_a 4.0709
_cell_length_b 4.0709
_cell_length_c 26.9904
_cell_angle_alpha 90.00
_cell_angle_beta 90.00
_cell_angle_gamma 120.00
loop_
_atom_site_label
_atom_site_type_symbol
_atom_site_fract_x
_atom_site_fract_y
_atom_site_fract_z
_atom_site_occupancy
Ho1 Ho 0.0000 0.0000 0.0000 1
Pu1 Pu 0.0000 0.0000 0.1520 1
Zn1 Zn 0.0000 0.0000 0.4138 1
Ge1 Ge 0.0000 0.0000 0.2644 1

4.
# GGA-PBE PuZr5, relaxed
# formation energy = 0.039 eV/atom
# DOS(E_F) = 15.1 states/eV/cell
# total moment = 0.86 μB per atom
data_PuZr5
_chemical_formula_sum 'Pu2 Zr10'
_symmetry_space_group_name_H-M 'C 1 2/m 1'
_symmetry_Int_Tables_number 12
_symmetry_space_group_name_Hall '-C 2y'
_cell_length_a 5.543
_cell_length_b 9.640
_cell_length_c 5.551
_cell_angle_alpha 90.00
_cell_angle_beta 109.25
_cell_angle_gamma 90.00
loop_
_atom_site_label
_atom_site_type_symbol
_atom_site_fract_x
_atom_site_fract_y
_atom_site_fract_z
_atom_site_occupancy
Pu1 Pu 0.000 0.000 0.000 1
Zr1 Zr 0.000 0.169 0.500 1
Zr2 Zr 0.000 0.334 0.000 1
Zr3 Zr 0.000 0.500 0.500 1

5.
# GGA-PBE Ga2Cu2Au5, relaxed
# offset from the most stable computed form = 36 meV/atom
# formation energy = -0.063 eV/atom
# DOS(E_F) = 11.3 states/eV/cell
# total moment = 0.00 μB per atom
data_Ga2Cu2Au5
_chemical_formula_sum 'Ga8 Cu8 Au20'
_symmetry_space_group_name_H-M 'I m a 2'
_symmetry_Int_Tables_number 46
_symmetry_space_group_name_Hall 'I 2 -2a'
_cell_length_a 15.174
_cell_length_b 7.376
_cell_length_c 5.638
_cell_angle_alpha 90.00
_cell_angle_beta 90.00
_cell_angle_gamma 90.00
loop_
_atom_site_label
_atom_site_type_symbol
_atom_site_fract_x
_atom_site_fract_y
_atom_site_fract_z
_atom_site_occupancy
Ga1 Ga 0.000 0.000 0.000 1
Ga2 Ga 0.250 0.072 0.141 1
Cu1 Cu 0.151 0.540 0.297 1
Au1 Au 0.061 0.659 0.911 1
Au2 Au 0.128 0.207 0.456 1
Au3 Au 0.250 0.688 0.960 1

6.
# GGA-PBE CrTc2Ge, relaxed
# formation energy = 0.589 eV/atom
# DOS(E_F) = 18.2 states/eV/cell
# total moment = 0.00 μB per atom
data_CrTc2Ge
_chemical_formula_sum 'Cr4 Tc8 Ge4'
_symmetry_space_group_name_H-M 'I -4 2 d'
_symmetry_Int_Tables_number 122
_symmetry_space_group_name_Hall 'I -4 2bw'
_cell_length_a 7.024
_cell_length_b 7.024
_cell_length_c 5.062
_cell_angle_alpha 90.00
_cell_angle_beta 90.00
_cell_angle_gamma 90.00
loop_
_atom_site_label
_atom_site_type_symbol
_atom_site_fract_x
_atom_site_fract_y
_atom_site_fract_z
_atom_site_occupancy
Cr1 Cr 0.000 0.000 0.000 1
Tc1 Tc 0.194 0.250 0.125 1
Ge1 Ge 0.000 0.000 0.500 1